Entry 1:
First-principles (GGA-PBE) data for crystalline Rb2PrRhO4 at its relaxed geometry, as listed in Alexandria via LeMat-Bulk.

extended XYZ file:
```
8
Lattice="-1.169 2.907 1.606 0.703 -2.564 5.152 5.841 3.213 -1.562" Properties=species:S:1:pos:R:3 pbc="T T T"
Rb 2.336 3.060 0.022
Rb 3.272 0.325 1.795
Pr -0.233 0.172 3.379
Rh 0.000 0.000 0.000
O 0.548 1.511 1.523
O 4.828 2.045 3.672
O 4.923 1.973 0.013
O 1.622 -1.324 3.576
```

Computed properties:
energy relative to the elements, uncorrected = -1.624 eV per atom
uncorrected energy = -5.86 eV per atom
crystal system = monoclinic
calculated volume = 133.0 Å³/cell

Entry 2:
First-principles (GGA-PBE) data for crystalline LiCo3N at its relaxed geometry, as listed in Alexandria via LeMat-Bulk.

extended XYZ file:
```
5
Lattice="-0.535 -1.978 -3.118 -0.225 -3.128 2.022 -3.686 0.478 0.330" Properties=species:S:1:pos:R:3 pbc="T T T"
Li -2.223 -2.314 -0.383
Co -0.112 -1.564 1.011
Co -1.843 0.239 0.165
Co -0.268 -0.989 -1.559
N 0.000 0.000 0.000
```

Computed properties:
energy relative to the elements, uncorrected = -0.045 eV per atom
uncorrected energy = -6.36 eV per atom
crystal system = cubic
energy above the most stable polymorph in this dataset = 0.000 eV per atom
DOS(E_F) = 5.4 states/eV/cell
calculated volume = 51.9 Å³/cell

Question: What is the calculated volume in the first record?
Answer: 133.0 Å³/cell

Question: Which value of calculated volume does entry 2 give?
Answer: 51.9 Å³/cell

Question: energy relative to the elements, uncorrected of number 1 (Rb2PrRhO4)?
Answer: -1.624 eV per atom